# 1
# ZrPaCo2

A relaxed ZrPaCo2 crystal (PBE, Alexandria via LeMat-Bulk).

Unit cell a=4.6823 b=4.6823 c=4.6823 alpha=59.27 beta=59.27 gamma=59.27
Closest atoms and distances in Å follow each position.
Fractional positions:
1 Zr 0.0000 0.0000 0.0000  6 Co 2.71
2 Pa 0.5000 0.5000 0.5000  2 Co 2.39
3 Co 0.2924 0.2924 0.2924  1 Pa 2.39
4 Co 0.7076 0.7076 0.7076  1 Pa 2.39

Values from the calculation:
total moment	0.000	μB per cell
E_form	-0.229	eV/atom
D(E_F)	4.8	states/eV/f.u.
excess energy over the best structure of this formula in the dataset	173	meV/atom

# 2
# Zr5Pa2Co4

A relaxed Zr5Pa2Co4 crystal (PBE, Alexandria via LeMat-Bulk).

Unit cell a=7.8314 b=7.8314 c=7.9718 alpha=94.75 beta=94.75 gamma=25.45
Closest atoms and distances in Å follow each position.
Fractional positions:
1 Zr 0.0000 0.0000 0.0000  6 Co 2.63-2.71
2 Zr 0.2991 0.2991 0.3604  2 Co 2.56
3 Zr 0.3250 0.3250 0.9148  3 Co 2.61-2.77
4 Zr 0.6750 0.6750 0.0852  3 Co 2.61-2.77
5 Zr 0.7009 0.7009 0.6397  2 Co 2.56
6 Pa 0.0766 0.0766 0.4011  2 Co 2.49
7 Pa 0.9234 0.9234 0.5989  2 Co 2.49
8 Co 0.1445 0.1445 0.8421  6 Zr 2.56-2.77, 2 Co 2.64
9 Co 0.4799 0.4799 0.2564  2 Pa 2.49, 2 Co 2.64, 2 Zr 2.71
10 Co 0.5201 0.5201 0.7436  2 Pa 2.49, 2 Co 2.64, 2 Zr 2.71
11 Co 0.8555 0.8555 0.1579  6 Zr 2.56-2.77, 2 Co 2.64

Values from the calculation:
total moment	0.000	μB per cell
E_form	-0.166	eV/atom
D(E_F)	10.2	states/eV/f.u.

# 3
# Zr3PaCo8

A relaxed Zr3PaCo8 crystal (PBE, Alexandria via LeMat-Bulk).

Unit cell a=8.5132 b=8.5132 c=8.5132 alpha=33.49 beta=33.49 gamma=33.49
Closest atoms and distances in Å follow each position.
Fractional positions:
1 Zr 0.0000 0.0000 0.0000  12 Co 2.84-2.88, 4 Zr 2.97-2.99
2 Zr 0.1241 0.1241 0.1241  12 Co 2.86-2.94, 1 Zr 2.99, 3 Pa 3.04
3 Zr 0.6293 0.6293 0.6293  12 Co 2.80-2.91, 3 Zr 2.97, 1 Pa 3.04
4 Pa 0.5030 0.5030 0.5030  12 Co 2.86-2.93, 4 Zr 3.04
5 Co 0.0633 0.5628 0.5628  6 Co 2.44-2.46
6 Co 0.0652 0.0652 0.5629  6 Co 2.44-2.48
7 Co 0.0652 0.5629 0.0652  6 Co 2.44-2.48
8 Co 0.3140 0.3140 0.3140  6 Co 2.44
9 Co 0.5628 0.0633 0.5628  6 Co 2.44-2.46
10 Co 0.5629 0.0652 0.0652  6 Co 2.44-2.48
11 Co 0.5628 0.5628 0.0633  6 Co 2.44-2.46
12 Co 0.8133 0.8133 0.8133  6 Co 2.46-2.48

Values from the calculation:
total moment	0.002	μB per cell
E_form	-0.301	eV/atom
D(E_F)	16.3	states/eV/f.u.

# 4
# Zr2Pa3Co2

A relaxed Zr2Pa3Co2 crystal (PBE, Alexandria via LeMat-Bulk).

Unit cell a=5.6101 b=5.6101 c=8.4127 alpha=107.94 beta=107.94 gamma=35.42
Closest atoms and distances in Å follow each position.
Fractional positions:
1 Zr 0.1630 0.1630 0.3101  2 Co 2.77
2 Zr 0.8370 0.8370 0.6899  2 Co 2.77
3 Pa 0.3923 0.3923 0.0632  2 Co 2.71, 1 Pa 2.83
4 Pa 0.5000 0.5000 0.5000  4 Co 2.50
5 Pa 0.6077 0.6077 0.9368  2 Co 2.71, 1 Pa 2.83
6 Co 0.1351 0.1351 0.6999  4 Pa 2.50-2.71, 2 Zr 2.77
7 Co 0.8649 0.8649 0.3001  4 Pa 2.50-2.71, 2 Zr 2.77

Values from the calculation:
total moment	0.000	μB per cell
E_form	-0.218	eV/atom
D(E_F)	8.0	states/eV/f.u.

> What is the E_form in the first record?

-0.229 eV/atom